Th2Fe5Co5, optimized geometry, DFT GGA-PBE; total DFT energy (no corrections) = -94.2 eV/f.u.; polymorph energy (0 for the lowest one) = 0.00 kcal/mol of atoms; calculated formation energy = -1.52 eV per formula unit
1.0
3.9288 0.0000 0.0000
0.0000 5.1105 0.0000
0.0000 0.0000 8.7561
Th Fe Co
2 5 5
direct
0.0000 0.0000 0.0000 Th
0.0000 0.5000 0.5000 Th
0.0000 0.0000 0.3333 Fe
0.0000 0.0000 0.6667 Fe
0.0000 0.5000 0.1658 Fe
0.0000 0.5000 0.8342 Fe
0.5000 0.0000 0.5000 Fe
0.5000 0.2498 0.2493 Co
0.5000 0.2498 0.7507 Co
0.5000 0.5000 0.0000 Co
0.5000 0.7502 0.2493 Co
0.5000 0.7502 0.7507 Co


Er3Cd4Hg2, optimized geometry, DFT GGA-PBE; total DFT energy (no corrections) = -21.0 eV/f.u.; calculated formation energy = -3.02 eV per formula unit
1.0
5.4626 -2.4753 0.0000
5.4626 2.4753 0.0000
-4.5379 0.0000 7.9881
Er Cd Hg
3 4 2
direct
0.0000 0.0000 0.0000 Er
0.3311 0.3311 0.3358 Er
0.6689 0.6689 0.6642 Er
0.0506 0.0506 0.3854 Cd
0.2751 0.2751 0.9446 Cd
0.7249 0.7249 0.0554 Cd
0.9494 0.9494 0.6146 Cd
0.3901 0.3901 0.7240 Hg
0.6099 0.6099 0.2760 Hg


UTl2Cd2O6, optimized geometry, DFT GGA-PBE; total DFT energy (no corrections) = -65.9 eV/f.u.; E_form (uncorrected) = -1.66 eV per atom
1.0
2.9936 -5.0501 0.0000
2.9936 5.0501 0.0000
-2.2478 0.0000 6.5812
U Tl Cd O
1 2 2 6
direct
0.0000 0.0000 0.0000 U
0.1748 0.8252 0.5000 Tl
0.8252 0.1748 0.5000 Tl
0.3365 0.6635 0.0000 Cd
0.6635 0.3365 0.0000 Cd
0.0578 0.3609 0.1770 O
0.2323 0.2323 0.8204 O
0.3609 0.0578 0.1770 O
0.6391 0.9422 0.8230 O
0.7677 0.7677 0.1796 O
0.9422 0.6391 0.8230 O


NbInCoCu, optimized geometry, DFT GGA-PBE; total DFT energy (no corrections) = -24.1 eV/f.u.; calculated formation energy = -0.08 eV per formula unit
1.0
0.0000 3.1142 3.1142
3.1142 0.0000 3.1142
3.1142 3.1142 0.0000
Nb In Co Cu
1 1 1 1
direct
0.0000 0.0000 0.0000 Nb
0.5000 0.5000 0.5000 In
0.2500 0.2500 0.2500 Co
0.7500 0.7500 0.7500 Cu


Question: Look up the total DFT energy (no corrections) of the third one.
Answer: -65.9 eV/f.u.